[1]
Computed, not measured: a relaxed structure of TlAg2Sn2 at the PBEsol level of DFT.

The structure in POSCAR format:
```
TlAg2Sn2
1.0
-2.158 2.158 6.420
2.158 -2.158 6.420
2.158 2.158 -6.420
Tl Ag Sn
1 2 2
Direct
0.000 0.000 0.000
0.250 0.750 0.500
0.750 0.250 0.500
0.387 0.387 0.000
0.613 0.613 0.000
```

Summary:
- ΔE to the lowest computed polymorph: 0.015 eV/atom
- Calculated total energy: -17.3 eV/cell

***

[2]
Computed, not measured: a relaxed structure of YAg2SnW at the PBEsol level of DFT.

The structure in POSCAR format:
```
YAg2SnW
1.0
5.033 0.000 0.000
0.000 5.033 0.000
0.000 0.000 5.489
Y Ag Sn W
1 2 1 1
Direct
0.000 0.000 0.000
0.000 0.500 0.000
0.500 0.000 0.000
0.000 0.000 0.500
0.500 0.500 0.500
```

Summary:
- Calculated total energy: -21.5 eV/cell

***

[3]
Computed, not measured: a relaxed structure of YAgSn2 at the PBEsol level of DFT.

The structure in POSCAR format:
```
YAgSn2
1.0
4.570 0.000 0.000
0.000 4.570 0.000
0.000 0.000 4.303
Y Ag Sn
1 1 2
Direct
0.000 0.000 0.000
0.500 0.500 0.000
0.000 0.500 0.500
0.500 0.000 0.500
```

Summary:
- Calculated total energy: -20.7 eV/cell

***

no.,ΔH_f (0 K) (eV/atom)
1,0.095
2,2.011
3,-0.500